! LiNbTl2Se4 GGA-PBE optimized geometry; values from VASP
! Energy = -4.503 eV per atom
! Crystal system = monoclinic
! Raw formation energy = -64.7 kJ per mole of atoms
! Spin magnetization = 0.000 μB per atom
! SG = No. 5
&SYSTEM
  ibrav = 0, nat = 8, ntyp = 4
/
ATOMIC_SPECIES
Li 6.94 Li.upf
Nb 92.91 Nb.upf
Tl 204.38 Tl.upf
Se 78.96 Se.upf
CELL_PARAMETERS angstrom
6.941 -0.003 -0.004
-0.005 6.940 -0.003
-3.465 -3.465 5.604
ATOMIC_POSITIONS crystal
Li 0.986 0.486 0.971
Nb 0.736 0.736 0.472
Tl 0.486 0.986 0.972
Tl 0.236 0.236 0.471
Se 0.693 0.620 0.715
Se 0.852 0.450 0.229
Se 0.377 0.778 0.228
Se 0.022 0.096 0.715



! Be2Cl GGA-PBE optimized geometry; values from VASP
! Energy = -2.789 eV per atom
! Polymorph energy (0 for the lowest one) = 186 kJ/mol of formula units
! Crystal system = tetragonal
! Raw formation energy = 30.0 kJ per mole of atoms
! Spin magnetization = 0.000 μB per atom
! SG = No. 140
&SYSTEM
  ibrav = 0, nat = 6, ntyp = 2
/
ATOMIC_SPECIES
Be 9.01 Be.upf
Cl 35.45 Cl.upf
CELL_PARAMETERS angstrom
-2.206 2.206 4.160
2.206 -2.206 4.160
2.206 2.206 -4.160
ATOMIC_POSITIONS crystal
Be 0.823 0.323 0.146
Be 0.177 0.677 0.854
Be 0.323 0.177 0.500
Be 0.677 0.823 0.500
Cl 0.750 0.750 0.000
Cl 0.250 0.250 0.000



! Cs5SbS4Cl2 GGA-PBE optimized geometry; values from VASP
! Energy = -3.619 eV per atom
! Crystal system = orthorhombic
! Raw formation energy = -119.3 kJ per mole of atoms
! Spin magnetization = 0.000 μB per atom
! SG = No. 38
&SYSTEM
  ibrav = 0, nat = 12, ntyp = 4
/
ATOMIC_SPECIES
Cs 132.91 Cs.upf
Sb 121.76 Sb.upf
S 32.06 S.upf
Cl 35.45 Cl.upf
CELL_PARAMETERS angstrom
8.382 0.000 0.000
-4.191 5.978 0.000
0.000 0.000 10.412
ATOMIC_POSITIONS crystal
Cs 0.110 0.386 0.238
Cs 0.426 0.000 0.500
Cs 0.110 0.386 0.762
Cs 0.724 0.614 0.762
Cs 0.724 0.614 0.238
Sb 0.396 0.000 0.000
S 0.560 0.000 0.185
S 0.560 0.000 0.815
S 0.384 0.316 0.000
S 0.068 0.684 0.000
Cl 0.939 0.535 0.500
Cl 0.404 0.465 0.500



! Y2TmZr GGA-PBE optimized geometry; values from VASP
! Energy = -6.309 eV per atom
! ΔE_f = 17.17 kJ/mol of atoms
! Polymorph energy (0 for the lowest one) = 39 kJ/mol of formula units
! Crystal system = tetragonal
! Spin magnetization = 0.000 μB per atom
! SG = No. 123
&SYSTEM
  ibrav = 0, nat = 4, ntyp = 3
/
ATOMIC_SPECIES
Y 88.91 Y.upf
Tm 168.93 Tm.upf
Zr 91.22 Zr.upf
CELL_PARAMETERS angstrom
4.026 0.000 0.000
0.000 4.026 0.000
0.000 0.000 7.182
ATOMIC_POSITIONS crystal
Y 0.000 0.000 0.729
Y 0.000 0.000 0.271
Tm 0.500 0.500 0.000
Zr 0.500 0.500 0.500



! LiHoMnRu GGA-PBE optimized geometry; values from VASP
! Energy = -6.219 eV per atom
! ΔE_f = 1.49 kJ/mol of atoms
! Crystal system = cubic
! Spin magnetization = 1.062 μB per atom
! SG = No. 216
&SYSTEM
  ibrav = 0, nat = 4, ntyp = 4
/
ATOMIC_SPECIES
Ru 101.07 Ru.upf
Mn 54.94 Mn.upf
Ho 164.93 Ho.upf
Li 6.94 Li.upf
CELL_PARAMETERS angstrom
-2.118 0.731 4.020
-2.708 -3.257 1.800
1.343 -2.291 3.758
ATOMIC_POSITIONS crystal
Ru 0.750 0.750 0.750
Mn 0.500 0.500 0.500
Ho 0.000 0.000 0.000
Li 0.250 0.250 0.250



! Pu2Ga2Cu15 GGA-PBE optimized geometry; values from VASP
! Energy = -5.103 eV per atom
! ΔE_f = -4.02 kJ/mol of atoms
! Crystal system = trigonal
! Spin magnetization = 0.631 μB per atom
! SG = No. 166
&SYSTEM
  ibrav = 0, nat = 19, ntyp = 3
/
ATOMIC_SPECIES
Pu 244.00 Pu.upf
Ga 69.72 Ga.upf
Cu 63.55 Cu.upf
CELL_PARAMETERS angstrom
6.529 -0.029 -0.026
0.818 6.478 -0.026
0.818 0.718 6.438
ATOMIC_POSITIONS crystal
Pu 0.353 0.353 0.353
Pu 0.647 0.647 0.647
Ga 0.104 0.104 0.104
Ga 0.896 0.896 0.896
Cu 0.500 0.000 0.000
Cu 0.000 0.000 0.500
Cu 0.000 0.500 0.000
Cu 0.000 0.699 0.301
Cu 0.699 0.301 0.000
Cu 0.301 0.000 0.699
Cu 0.301 0.699 0.000
Cu 0.699 0.000 0.301
Cu 0.000 0.301 0.699
Cu 0.153 0.654 0.654
Cu 0.654 0.654 0.153
Cu 0.654 0.153 0.654
Cu 0.847 0.346 0.346
Cu 0.346 0.346 0.847
Cu 0.346 0.847 0.346



! MgMnGeAu GGA-PBE optimized geometry; values from VASP
! Energy = -4.774 eV per atom
! ΔE_f = -10.55 kJ/mol of atoms
! Crystal system = cubic
! Spin magnetization = 0.960 μB per atom
! SG = No. 216
&SYSTEM
  ibrav = 0, nat = 4, ntyp = 4
/
ATOMIC_SPECIES
Ge 72.64 Ge.upf
Mn 54.94 Mn.upf
Au 196.97 Au.upf
Mg 24.30 Mg.upf
CELL_PARAMETERS angstrom
4.601 0.000 0.000
2.301 3.985 0.000
2.301 1.328 3.757
ATOMIC_POSITIONS crystal
Ge 0.250 0.250 0.250
Mn 0.000 0.000 0.000
Au 0.750 0.750 0.750
Mg 0.500 0.500 0.500



! Y3HgPb2 GGA-PBE optimized geometry; values from VASP
! Energy = -4.978 eV per atom
! ΔE_f = -44.32 kJ/mol of atoms
! Crystal system = orthorhombic
! Spin magnetization = 0.000 μB per atom
! SG = No. 62
&SYSTEM
  ibrav = 0, nat = 24, ntyp = 3
/
ATOMIC_SPECIES
Y 88.91 Y.upf
Hg 200.59 Hg.upf
Pb 207.20 Pb.upf
CELL_PARAMETERS angstrom
4.731 0.000 0.000
0.000 11.676 0.000
0.000 0.000 12.496
ATOMIC_POSITIONS crystal
Y 0.250 0.375 0.036
Y 0.750 0.625 0.964
Y 0.750 0.875 0.464
Y 0.250 0.125 0.536
Y 0.250 0.684 0.201
Y 0.750 0.316 0.799
Y 0.750 0.184 0.299
Y 0.250 0.816 0.701
Y 0.250 0.426 0.362
Y 0.750 0.574 0.638
Y 0.750 0.926 0.138
Y 0.250 0.074 0.862
Hg 0.250 0.157 0.158
Hg 0.750 0.843 0.842
Hg 0.750 0.657 0.342
Hg 0.250 0.343 0.658
Pb 0.250 0.670 0.493
Pb 0.750 0.330 0.507
Pb 0.750 0.170 0.007
Pb 0.250 0.830 0.993
Pb 0.250 0.966 0.319
Pb 0.750 0.034 0.681
Pb 0.750 0.466 0.181
Pb 0.250 0.534 0.819



! CsReN2O GGA-PBE optimized geometry; values from VASP
! Energy = -7.072 eV per atom
! Crystal system = tetragonal
! Raw formation energy = -8.7 kJ per mole of atoms
! Spin magnetization = 0.001 μB per atom
! SG = No. 123
&SYSTEM
  ibrav = 0, nat = 5, ntyp = 4
/
ATOMIC_SPECIES
Cs 132.91 Cs.upf
Re 186.21 Re.upf
O 16.00 O.upf
N 14.01 N.upf
CELL_PARAMETERS angstrom
4.018 0.000 0.000
0.000 4.018 0.000
0.000 0.000 4.204
ATOMIC_POSITIONS crystal
Cs 0.500 0.500 0.500
Re 0.000 0.000 0.000
O 0.000 0.000 0.500
N 0.000 0.500 0.000
N 0.500 0.000 0.000



! Sr2B10W GGA-PBE optimized geometry; values from VASP
! Energy = -6.541 eV per atom
! ΔE_f = -14.42 kJ/mol of atoms
! Crystal system = orthorhombic
! Spin magnetization = 0.152 μB per atom
! SG = No. 55
&SYSTEM
  ibrav = 0, nat = 26, ntyp = 3
/
ATOMIC_SPECIES
Sr 87.62 Sr.upf
B 10.81 B.upf
W 183.84 W.upf
CELL_PARAMETERS angstrom
-4.142 -0.768 0.720
-0.982 -0.154 -5.813
2.146 -11.627 -0.054
ATOMIC_POSITIONS crystal
Sr 0.500 0.306 0.858
Sr 0.500 0.694 0.142
Sr 0.500 0.806 0.642
Sr 0.500 0.194 0.358
B 0.000 0.117 0.545
B 0.000 0.883 0.455
B 0.000 0.617 0.955
B 0.000 0.383 0.045
B 0.000 0.136 0.697
B 0.000 0.864 0.303
B 0.300 0.222 0.120
B 0.300 0.778 0.880
B 0.700 0.722 0.380
B 0.700 0.278 0.620
B 0.700 0.778 0.880
B 0.700 0.222 0.120
B 0.300 0.278 0.620
B 0.300 0.722 0.380
B 0.000 0.061 0.193
B 0.000 0.939 0.807
B 0.000 0.561 0.307
B 0.000 0.439 0.693
B 0.000 0.364 0.197
B 0.000 0.636 0.803
W 0.000 0.500 0.500
W 0.000 0.000 0.000



! Ac3SnAu2 GGA-PBE optimized geometry; values from VASP
! Energy = -4.526 eV per atom
! ΔE_f = -68.69 kJ/mol of atoms
! Polymorph energy (0 for the lowest one) = 0 kJ/mol of formula units
! Crystal system = tetragonal
! Spin magnetization = 0.000 μB per atom
! SG = No. 123
&SYSTEM
  ibrav = 0, nat = 6, ntyp = 3
/
ATOMIC_SPECIES
Ac 227.00 Ac.upf
Sn 118.71 Sn.upf
Au 196.97 Au.upf
CELL_PARAMETERS angstrom
3.943 0.000 0.000
0.000 3.943 0.000
0.000 0.000 12.068
ATOMIC_POSITIONS crystal
Ac 0.000 0.000 0.000
Ac 0.000 0.000 0.677
Ac 0.000 0.000 0.323
Sn 0.500 0.500 0.500
Au 0.500 0.500 0.841
Au 0.500 0.500 0.159